A relaxed K2Ga3CoF12 crystal. Source: Alexandria, functional PBE+U.

Properties
Its space group is R-3m, No. 166. The calculation puts the electronic total energy at -4.669 eV per atom. As for the volume: 15.34 A^3/atom.

Cell lengths 7.2081, 7.2081, 7.2081 Å; angles 61.90, 61.90, 61.90 degrees
Atoms (fractional coordinates):
K  0.1345  0.1345  0.1345
K  0.8655  0.8655  0.8655
Ga  0.0000  0.5000  0.5000
Ga  0.5000  0.0000  0.5000
Ga  0.5000  0.5000  0.0000
Co  0.5000  0.5000  0.5000
F  0.1343  0.5937  0.5937
F  0.1934  0.1934  0.5816
F  0.1934  0.5816  0.1934
F  0.4063  0.4063  0.8657
F  0.4063  0.8657  0.4063
F  0.4184  0.8066  0.8066
F  0.5816  0.1934  0.1934
F  0.5937  0.1343  0.5937
F  0.5937  0.5937  0.1343
F  0.8066  0.4184  0.8066
F  0.8066  0.8066  0.4184
F  0.8657  0.4063  0.4063